Record 1
This record from Alexandria describes a relaxed structure of Rb3NaPd. The functional is GGA-PBEsol.

Properties
Energy of formation from the pure elements = 0.663 eV per atom
Density = 2213 kg/m3
D(E_F) = 2.66 states/eV per atom

a = 6.6151 Å, b = 6.6151 Å, c = 6.6151 Å
α = 90.00°, β = 90.00°, γ = 90.00°
Site moments in Bohr magnetons follow the coordinates.
Element x y z (fractional)
Na 0.0000 0.0000 0.0000  0.00
Rb 0.0000 0.5000 0.0000  0.00
Rb 0.0000 0.0000 0.5000  0.00
Rb 0.5000 0.0000 0.0000  0.00
Pd 0.5000 0.5000 0.5000  0.19

---

Record 2
This record from Alexandria describes a relaxed structure of NaRe2PdSe. The functional is GGA-PBEsol.

Properties
Density = 9850 kg/m3
Formation energy from raw total energies = 1.351 eV/atom
D(E_F) = 1.28 states/eV per atom

a = 4.5530 Å, b = 4.5530 Å, c = 4.7231 Å
α = 90.00°, β = 90.00°, γ = 90.00°
Site moments in Bohr magnetons follow the coordinates.
Element x y z (fractional)
Re 0.0000 0.5000 0.0000  0.51
Re 0.5000 0.0000 0.0000  0.51
Se 0.0000 0.0000 0.0000  -0.01
Pd 0.0000 0.0000 0.5000  0.05
Na 0.5000 0.5000 0.5000  0.00

---

Record 3
This record from Alexandria describes a relaxed structure of NaReSiPd2. The functional is GGA-PBEsol.

Properties
Density = 8909 kg/m3
Formation energy from raw total energies = 1.836 eV/atom
D(E_F) = 0.70 states/eV per atom

a = 4.3077 Å, b = 4.3077 Å, c = 4.5214 Å
α = 90.00°, β = 90.00°, γ = 90.00°
Site moments in Bohr magnetons follow the coordinates.
Element x y z (fractional)
Re 0.5000 0.5000 0.5000  1.68
Si 0.0000 0.0000 0.5000  -0.06
Pd 0.0000 0.5000 0.0000  0.05
Pd 0.5000 0.0000 0.0000  0.05
Na 0.0000 0.0000 0.0000  -0.01

---

Record 4
This record from Alexandria describes a relaxed structure of NaZrPd2Ru. The functional is GGA-PBEsol.

Properties
Energy of formation from the pure elements = 1.588 eV per atom
Density = 6543 kg/m3
D(E_F) = 0.82 states/eV per atom

a = 4.6788 Å, b = 4.6788 Å, c = 4.9633 Å
α = 90.00°, β = 90.00°, γ = 90.00°
Site moments in Bohr magnetons follow the coordinates.
Element x y z (fractional)
Ru 0.5000 0.5000 0.5000  1.86
Zr 0.0000 0.0000 0.0000  -0.10
Pd 0.0000 0.5000 0.0000  -0.06
Pd 0.5000 0.0000 0.0000  -0.06
Na 0.0000 0.0000 0.5000  -0.02

---

Record 5
This record from Alexandria describes a relaxed structure of NaPdS2. The functional is GGA-PBEsol.

Properties
Density = 3375 kg/m3
Formation energy from raw total energies = -0.341 eV/atom
D(E_F) = 0.62 states/eV per atom

a = 5.9391 Å, b = 5.9391 Å, c = 6.8406 Å
α = 115.73°, β = 115.73°, γ = 90.00°
Element x y z (fractional)
Na 0.7500 0.2500 0.5000
Na 0.5000 0.5000 0.0000
S 0.3016 0.8750 0.2500
S 0.9484 0.3750 0.2500
S 0.1250 0.0516 0.7500
S 0.6250 0.6984 0.7500
Pd 0.2500 0.7500 0.5000
Pd 0.0000 0.0000 0.0000

---

Record 6
This record from Alexandria describes a relaxed structure of Na3PdS. The functional is GGA-PBEsol.

Properties
Density = 2509 kg/m3
Formation energy from raw total energies = -0.123 eV/atom
D(E_F) = 0.70 states/eV per atom

a = 5.1587 Å, b = 5.1587 Å, c = 5.1587 Å
α = 90.00°, β = 90.00°, γ = 90.00°
Element x y z (fractional)
Na 0.0000 0.5000 0.0000
Na 0.0000 0.0000 0.5000
Na 0.5000 0.0000 0.0000
S 0.0000 0.0000 0.0000
Pd 0.5000 0.5000 0.5000